(1)
DFT (PBE) results for a geometry-optimized LiInAu3 structure.

Summary:
Spin magnetization, μB per cell: 0.0

```
LiInAu3
1.0
5.2552 0.0000 0.0000
0.0000 5.2552 0.0000
0.0000 0.0000 5.2552
Li In Au
1 1 3
Direct
0.0000 0.0000 0.0000
0.5000 0.5000 0.5000
0.0000 0.5000 0.5000
0.5000 0.0000 0.5000
0.5000 0.5000 0.0000
```

=====

(2)
DFT (PBE) results for a geometry-optimized Li2In2Au structure.

Summary:
Spin magnetization, μB per cell: 0.0

```
Li2In2Au
1.0
7.4329 0.0000 0.0000
0.0000 7.4329 0.0000
0.0000 0.0000 3.5451
Li In Au
4 4 2
Direct
0.1570 0.3430 0.0000
0.3430 0.8430 0.0000
0.6570 0.1570 0.0000
0.8430 0.6570 0.0000
0.1446 0.6446 0.5000
0.3554 0.1446 0.5000
0.6446 0.8554 0.5000
0.8554 0.3554 0.5000
0.0000 0.0000 0.5000
0.5000 0.5000 0.5000
```

=====

(3)
DFT (PBE) results for a geometry-optimized Li2InAu2 structure.

Summary:
Spin magnetization, μB per cell: 0.0

```
Li2InAu2
1.0
-1.9591 1.9591 6.2525
1.9591 -1.9591 6.2525
1.9591 1.9591 -6.2525
Li In Au
2 1 2
Direct
0.1077 0.1077 0.0000
0.8923 0.8923 0.0000
0.5000 0.5000 0.0000
0.2500 0.7500 0.5000
0.7500 0.2500 0.5000
```

=====

(4)
DFT (PBE) results for a geometry-optimized LiInAu2 structure.

Summary:
Spin magnetization, μB per cell: 0.0

```
LiInAu2
1.0
2.9842 0.0000 0.0000
0.0000 3.6003 0.0000
-0.1799 0.0000 6.7428
Li In Au
1 1 2
Direct
0.0000 0.0000 0.0000
0.0000 0.0000 0.5000
0.4898 0.5000 0.7836
0.5102 0.5000 0.2164
```

=====

| no. | formation energy (eV/f.u.) |
| --- | --- |
| 1 | 1.03 |
| 2 | -1.26 |
| 3 | -1.29 |
| 4 | -1.43 |